Compound: Ge4IrSe3
Source: OQMD via LeMat-Bulk
Functional: PBE
Structure: optimized geometry

Calculated values
spin magnetization	0.0	μB per cell
symmetry	Pm
total DFT energy (no corrections)	-4.79	eV per atom

```
data_Ge4IrSe3
_chemical_formula_sum 'Ge4 Ir1 Se3'
_cell_length_a 6.653
_cell_length_b 3.640
_cell_length_c 7.362
_cell_angle_alpha 90.00
_cell_angle_beta 98.99
_cell_angle_gamma 90.00
_space_group_name_H-M_alt 'P 1'
_space_group_IT_number 1
loop_
_space_group_symop_operation_xyz
'x,y,z'
loop_
_atom_site_label
_atom_site_type_symbol
_atom_site_fract_x
_atom_site_fract_y
_atom_site_fract_z
Ge1 Ge 0.648 0.500 0.669
Ge2 Ge 0.877 0.500 0.259
Ge3 Ge 0.077 0.000 0.712
Ge4 Ge 0.452 0.000 0.232
Ir1 Ir 0.760 0.000 0.476
Se1 Se 0.271 0.500 0.577
Se2 Se 0.700 0.000 0.993
Se3 Se 0.215 0.500 0.083
```